1.
NaPaAu2 | PBE | optimized geometry

Output
Its energy above the lowest structure with this stoichiometry is 0.0 kJ per mole of atoms. As for the symmetry: P4/mmm (123). As for the crystal system: tetragonal.

POSCAR file:
```
NaPaAu2
1.0
5.3281 0.0000 0.0000
0.0000 5.3281 0.0000
0.0000 0.0000 3.1557
Na Pa Au
1 1 2
direct
0.0000 0.0000 0.0000
0.5000 0.5000 0.0000
0.0000 0.5000 0.5000
0.5000 0.0000 0.5000
```

2.
NaPaAu2 | PBE | optimized geometry

Output
Its energy above the lowest structure with this stoichiometry is 12.2 kJ per mole of atoms. As for the symmetry: R-3m (166). As for the crystal system: trigonal.

POSCAR file:
```
NaPaAu2
1.0
1.6178 0.9341 9.8576
-1.6178 0.9341 9.8576
0.0000 -1.8681 9.8576
Na Pa Au
1 1 2
direct
0.0000 0.0000 0.0000
0.5000 0.5000 0.5000
0.2499 0.2499 0.2499
0.7501 0.7501 0.7501
```

3.
NaPaAu | PBE | optimized geometry

Output
As for the symmetry: Cm (8). As for the crystal system: monoclinic.

POSCAR file:
```
NaPaAu
1.0
4.2086 -2.4202 0.0000
4.2086 2.4202 0.0000
-0.0341 0.0000 7.3026
Na Pa Au
2 2 2
direct
0.0000 0.0000 0.0000
0.6668 0.6668 0.8302
0.9998 0.9998 0.4855
0.3346 0.3346 0.3200
0.3334 0.3334 0.7171
0.6670 0.6670 0.2499
```

| no. | energy of formation from the pure elements (eV/atom) | raw total energy (eV per atom) |
| --- | --- | --- |
| 1 | -0.2602 | -4.60 |
| 2 | -0.1340 | -4.48 |
| 3 | 0.0628 | -4.63 |